<P>
A relaxed structure of K2InGe2. Source: Alexandria via LeMat-Bulk, functional GGA-PBE.

Geometry as POSCAR:
```
K2InGe2
1.0
-1.3156 -3.0397 -5.0730
-0.0894 -5.9977 3.6170
-7.7483 3.9794 -0.3750
In Ge K
2 4 4
Cartesian
-0.6578 -1.5199 -2.5365
0.0000 0.0000 0.0000
-2.9564 -6.9165 -0.5156
-6.2528 -1.8946 0.9479
-6.1969 1.8585 -1.3154
-2.9005 -3.1634 -2.7790
-7.6449 -1.4420 -2.5800
-3.6827 -0.3379 -0.6513
-1.5084 -3.6160 0.7490
-5.4706 -4.7201 -1.1797
```

The space-group type is Cmcm (63).

=====

<Q>
A relaxed structure of K2InGe2. Source: Alexandria via LeMat-Bulk, functional GGA-PBE.

Geometry as POSCAR:
```
K2InGe2
1.0
-3.2047 6.2145 -2.0889
1.7552 -1.4271 -6.9381
-4.9011 -2.7538 -0.6735
In Ge K
2 4 4
Cartesian
-0.7248 2.3937 -4.5135
0.0000 0.0000 0.0000
0.3264 1.1068 -6.9014
-1.7760 3.6807 -2.1256
0.2835 0.2017 -2.8883
-1.7331 4.5858 -6.1388
-4.5149 3.2562 -4.2583
-1.8358 -1.2225 -5.4422
-3.1969 1.6886 -7.4402
-3.1538 0.3451 -2.2603
```

The space-group type is P4/mbm (127).

=====

Which structure loses on stability? <P> does.